! GeC2Se | the Alexandria database | GGA-PBE | relaxed; values from VASP
! Relative energy among the computed polymorphs (meV/atom): 0
! Volume (Å³/cell): 113.9
! Formation energy from raw total energies (eV/f.u.): 5.7
&SYSTEM
  ibrav = 0, nat = 8, ntyp = 3
/
ATOMIC_SPECIES
Ge 72.64 Ge.upf
C 12.01 C.upf
Se 78.96 Se.upf
CELL_PARAMETERS angstrom
-2.461 2.461 4.702
2.461 -2.461 4.702
2.461 2.461 -4.702
ATOMIC_POSITIONS crystal
Ge 0.000 0.000 0.000
Ge 0.750 0.250 0.500
C 0.081 0.625 0.956
C 0.375 0.331 0.456
C 0.669 0.125 0.044
C 0.875 0.919 0.544
Se 0.250 0.750 0.500
Se 0.500 0.500 0.000

***

! GeC3Se | the Alexandria database | GGA-PBE | relaxed; values from VASP
! Relative energy among the computed polymorphs (meV/atom): 0
! Volume (Å³/cell): 64.4
! Formation energy from raw total energies (eV/f.u.): 13.6
&SYSTEM
  ibrav = 0, nat = 5, ntyp = 3
/
ATOMIC_SPECIES
Ge 72.64 Ge.upf
C 12.01 C.upf
Se 78.96 Se.upf
CELL_PARAMETERS angstrom
4.008 0.000 0.000
0.000 4.008 0.000
0.000 0.000 4.008
ATOMIC_POSITIONS crystal
Ge 0.000 0.000 0.000
C 0.000 0.000 0.500
C 0.000 0.500 0.000
C 0.500 0.000 0.000
Se 0.500 0.500 0.500